# 1
# YIn2W, single point on PBEsol structure, DFT meta-GGA SCAN
data_YIn2W
_chemical_formula_sum 'Y4 In8 W4'
_symmetry_space_group_name_H-M 'F m -3 m'
_symmetry_Int_Tables_number 225
_symmetry_space_group_name_Hall '-F 4 2 3'
_cell_length_a 6.9024
_cell_length_b 6.9024
_cell_length_c 6.9024
_cell_angle_alpha 90.00
_cell_angle_beta 90.00
_cell_angle_gamma 90.00
loop_
_atom_site_label
_atom_site_fract_x
_atom_site_fract_y
_atom_site_fract_z
_atom_site_occupancy
Y1 0.0000 0.0000 0.0000 1
In1 0.2500 0.2500 0.2500 1
W1 0.0000 0.0000 0.5000 1
# relative energy among the computed polymorphs = 0.0000 eV/atom

=====

# 2
Below is La4YTl at its PBEsol-relaxed geometry, with properties calculated at the meta-GGA SCAN level.

CIF file:
```
data_La4YTl
_chemical_formula_sum 'La16 Y4 Tl4'
_symmetry_space_group_name_H-M 'F -4 3 m'
_symmetry_Int_Tables_number 216
_symmetry_space_group_name_Hall 'F -4 2 3'
_cell_length_a 9.1958
_cell_length_b 9.1958
_cell_length_c 9.1958
_cell_angle_alpha 90.00
_cell_angle_beta 90.00
_cell_angle_gamma 90.00
loop_
_atom_site_label
_atom_site_fract_x
_atom_site_fract_y
_atom_site_fract_z
_atom_site_occupancy
La1 0.1240 0.1240 0.3760 1
Y1 0.0000 0.0000 0.0000 1
Tl1 0.2500 0.2500 0.7500 1
```

=====

# 3
Below is Ba3NaAg at its PBEsol-relaxed geometry, with properties calculated at the meta-GGA SCAN level.

CIF file:
```
data_Ba3NaAg
_chemical_formula_sum 'Ba3 Na1 Ag1'
_symmetry_space_group_name_H-M 'P m -3 m'
_symmetry_Int_Tables_number 221
_symmetry_space_group_name_Hall '-P 4 2 3'
_cell_length_a 6.4355
_cell_length_b 6.4355
_cell_length_c 6.4355
_cell_angle_alpha 90.00
_cell_angle_beta 90.00
_cell_angle_gamma 90.00
loop_
_atom_site_label
_atom_site_fract_x
_atom_site_fract_y
_atom_site_fract_z
_atom_site_occupancy
Ba1 0.0000 0.0000 0.5000 1
Na1 0.5000 0.5000 0.5000 1
Ag1 0.0000 0.0000 0.0000 1
```

=====

| no. | formation enthalpy at 0 K (eV/atom) |
| --- | --- |
| 1 | 0.254 |
| 2 | 0.122 |
| 3 | -0.075 |